[1]
VASP calculation (GGA-PBE) on crystalline Li2Sc2Sn2IrPd at its relaxed geometry.

The structure in CIF format:
```
data_Li2Sc2Sn2IrPd
_chemical_formula_sum 'Li2 Sc2 Sn2 Ir1 Pd1'
_space_group_name_H-M_alt 'P -4 m 2'
_space_group_IT_number 115
_space_group_name_Hall 'P -4 -2'
_cell_length_a 4.599
_cell_length_b 4.599
_cell_length_c 6.499
_cell_angle_alpha 90.00
_cell_angle_beta 90.00
_cell_angle_gamma 90.00
loop_
_atom_site_label
_atom_site_fract_x
_atom_site_fract_y
_atom_site_fract_z
Li1 0.000 0.000 0.000
Li2 0.500 0.500 0.500
Sc1 0.000 0.500 0.743
Sn1 0.000 0.500 0.252
Ir1 0.000 0.000 0.500
Pd1 0.500 0.500 0.000
```

Total moment, μB per formula unit: 0.001
Crystal system: tetragonal
DFT total energy, eV per atom: -5.579



[2]
VASP calculation (GGA-PBE) on crystalline Li2Y2Sn2IrPd at its relaxed geometry.

The structure in CIF format:
```
data_Li2Y2Sn2IrPd
_chemical_formula_sum 'Li2 Y2 Sn2 Ir1 Pd1'
_space_group_name_H-M_alt 'P -4 m 2'
_space_group_IT_number 115
_space_group_name_Hall 'P -4 -2'
_cell_length_a 4.757
_cell_length_b 4.757
_cell_length_c 6.721
_cell_angle_alpha 90.00
_cell_angle_beta 90.00
_cell_angle_gamma 90.00
loop_
_atom_site_label
_atom_site_fract_x
_atom_site_fract_y
_atom_site_fract_z
Li1 0.000 0.000 0.000
Li2 0.500 0.500 0.500
Y1 0.000 0.500 0.246
Sn1 0.000 0.500 0.754
Ir1 0.500 0.500 0.000
Pd1 0.000 0.000 0.500
```

Total moment, μB per formula unit: 0.003
Crystal system: tetragonal
DFT total energy, eV per atom: -5.586



[3]
VASP calculation (GGA-PBE) on crystalline Li2Zr2Sn2IrPd at its relaxed geometry.

The structure in CIF format:
```
data_Li2Zr2Sn2IrPd
_chemical_formula_sum 'Li2 Zr2 Sn2 Ir1 Pd1'
_space_group_name_H-M_alt 'P -4 m 2'
_space_group_IT_number 115
_space_group_name_Hall 'P -4 -2'
_cell_length_a 4.622
_cell_length_b 4.622
_cell_length_c 6.525
_cell_angle_alpha 90.00
_cell_angle_beta 90.00
_cell_angle_gamma 90.00
loop_
_atom_site_label
_atom_site_fract_x
_atom_site_fract_y
_atom_site_fract_z
Li1 0.000 0.000 0.000
Li2 0.500 0.500 0.500
Zr1 0.000 0.500 0.243
Sn1 0.000 0.500 0.744
Ir1 0.500 0.500 0.000
Pd1 0.000 0.000 0.500
```

Total moment, μB per formula unit: 0.003
Crystal system: tetragonal
DFT total energy, eV per atom: -6.006



[4]
VASP calculation (GGA-PBE) on crystalline Li4Zn2IrPd at its relaxed geometry.

The structure in CIF format:
```
data_Li4Zn2IrPd
_chemical_formula_sum 'Li4 Zn2 Ir1 Pd1'
_space_group_name_H-M_alt 'P -4 m 2'
_space_group_IT_number 115
_space_group_name_Hall 'P -4 -2'
_cell_length_a 4.248
_cell_length_b 4.248
_cell_length_c 6.019
_cell_angle_alpha 90.00
_cell_angle_beta 90.00
_cell_angle_gamma 90.00
loop_
_atom_site_label
_atom_site_fract_x
_atom_site_fract_y
_atom_site_fract_z
Li1 0.000 0.000 0.000
Li2 0.000 0.500 0.249
Li3 0.500 0.500 0.500
Zn1 0.000 0.500 0.761
Ir1 0.500 0.500 0.000
Pd1 0.000 0.000 0.500
```

Total moment, μB per formula unit: 0.005
Crystal system: tetragonal
DFT total energy, eV per atom: -3.373



[5]
VASP calculation (GGA-PBE) on crystalline LiPm2Ir2 at its relaxed geometry.

The structure in CIF format:
```
data_LiPm2Ir2
_chemical_formula_sum 'Li4 Pm8 Ir8'
_space_group_name_H-M_alt 'C 1 2/c 1'
_space_group_IT_number 15
_space_group_name_Hall '-C 2yc'
_cell_length_a 10.101
_cell_length_b 5.486
_cell_length_c 8.065
_cell_angle_alpha 90.00
_cell_angle_beta 107.05
_cell_angle_gamma 90.00
loop_
_atom_site_label
_atom_site_fract_x
_atom_site_fract_y
_atom_site_fract_z
Li1 0.000 0.131 0.250
Pm1 0.146 0.344 0.648
Ir1 0.135 0.150 0.012
```

Total moment, μB per formula unit: 0.002
Crystal system: monoclinic
DFT total energy, eV per atom: -6.379



[6]
VASP calculation (GGA-PBE) on crystalline LiPrIr at its relaxed geometry.

The structure in CIF format:
```
data_LiPrIr
_chemical_formula_sum 'Li4 Pr4 Ir4'
_space_group_name_H-M_alt 'F -4 3 m'
_space_group_IT_number 216
_space_group_name_Hall 'F -4 2 3'
_cell_length_a 6.228
_cell_length_b 6.228
_cell_length_c 6.228
_cell_angle_alpha 90.00
_cell_angle_beta 90.00
_cell_angle_gamma 90.00
loop_
_atom_site_label
_atom_site_fract_x
_atom_site_fract_y
_atom_site_fract_z
Li1 0.000 0.000 0.000
Pr1 0.250 0.250 0.250
Ir1 0.250 0.250 0.750
```

Total moment, μB per formula unit: 0.000
Crystal system: cubic
DFT total energy, eV per atom: -5.280